1.
Compound: PPd2F
Source: the Alexandria database
Functional: SCAN
Structure: single point on PBEsol structure

## Properties
- DOS(E_F): 0.5 states/eV/cell
- SG: I-42d
- Uncorrected formation energy: -697.1 meV per atom
- Total energy: -20.5690 eV per atom

a = 5.3021 Å, b = 5.3021 Å, c = 5.3021 Å
α = 110.42°, β = 110.42°, γ = 107.59°
Last column: nearest neighbours and their distance in Å.
Sites, in units of the cell vectors:
P: 0.0000 0.0000 0.0000  4 Pd 2.22
P: 0.7500 0.2500 0.5000  4 Pd 2.22
Pd: 0.1111 0.6250 0.9861  2 P 2.22, 2 F 2.33
Pd: 0.3750 0.3611 0.4861  2 P 2.22, 2 F 2.33
Pd: 0.6389 0.1250 0.0139  2 P 2.22, 2 F 2.33
Pd: 0.8750 0.8889 0.5139  2 P 2.22, 2 F 2.33
F: 0.2500 0.7500 0.5000  4 Pd 2.33
F: 0.5000 0.5000 0.0000  4 Pd 2.33


2.
Compound: P2PdF
Source: the Alexandria database
Functional: SCAN
Structure: single point on PBEsol structure

## Properties
- DOS(E_F): 3.0 states/eV/cell
- SG: I-42d
- Uncorrected formation energy: -245.8 meV per atom
- Total energy: -14.5237 eV per atom

a = 9.2854 Å, b = 9.2854 Å, c = 9.2854 Å
α = 158.27°, β = 158.27°, γ = 30.93°
Last column: nearest neighbours and their distance in Å.
Sites, in units of the cell vectors:
P: 0.0759 0.6250 0.9509  2 P 2.25, 2 Pd 2.50
P: 0.3750 0.3259 0.4509  2 P 2.25, 2 Pd 2.50
P: 0.6741 0.1250 0.0491  2 P 2.25, 2 Pd 2.50
P: 0.8750 0.9241 0.5491  2 P 2.25, 2 Pd 2.50
Pd: 0.0000 0.0000 0.0000  4 F 2.48, 4 P 2.50
Pd: 0.7500 0.2500 0.5000  4 F 2.48, 4 P 2.50
F: 0.2500 0.7500 0.5000  4 Pd 2.48, 4 P 2.62
F: 0.5000 0.5000 0.0000  4 Pd 2.48, 4 P 2.62


3.
Compound: PPt2F
Source: the Alexandria database
Functional: SCAN
Structure: single point on PBEsol structure

## Properties
- DOS(E_F): 0.6 states/eV/cell
- SG: I-42d
- Uncorrected formation energy: -561.0 meV per atom
- Total energy: -39.1422 eV per atom

a = 5.3058 Å, b = 5.3058 Å, c = 5.3058 Å
α = 108.66°, β = 108.66°, γ = 111.10°
Last column: nearest neighbours and their distance in Å.
Sites, in units of the cell vectors:
P: 0.0000 0.0000 0.0000  4 Pt 2.23
P: 0.7500 0.2500 0.5000  4 Pt 2.23
Pt: 0.1036 0.6250 0.9786  2 P 2.23, 2 F 2.40
Pt: 0.3750 0.3536 0.4786  2 P 2.23, 2 F 2.40
Pt: 0.6464 0.1250 0.0214  2 P 2.23, 2 F 2.40
Pt: 0.8750 0.8964 0.5214  2 P 2.23, 2 F 2.40
F: 0.2500 0.7500 0.5000  4 Pt 2.40
F: 0.5000 0.5000 0.0000  4 Pt 2.40


4.
Compound: PPtS2F
Source: the Alexandria database
Functional: SCAN
Structure: single point on PBEsol structure

## Properties
- DOS(E_F): 4.6 states/eV/cell
- SG: P4/mmm
- Uncorrected formation energy: 1106.5 meV per atom
- Total energy: -19.5710 eV per atom

a = 4.6893 Å, b = 4.6893 Å, c = 3.5898 Å
α = 90.00°, β = 90.00°, γ = 90.00°
Last column: nearest neighbours and their distance in Å.
Sites, in units of the cell vectors:
P: 0.0000 0.0000 0.0000  2 F 1.79
Pt: 0.5000 0.5000 0.0000  8 S 2.95
S: 0.0000 0.5000 0.5000  2 F 2.34
S: 0.5000 0.0000 0.5000  2 F 2.34
F: 0.0000 0.0000 0.5000  2 P 1.79


5.
Compound: RbP2F
Source: the Alexandria database
Functional: SCAN
Structure: single point on PBEsol structure

## Properties
- DOS(E_F): 2.7 states/eV/cell
- SG: I4_1/amd
- Uncorrected formation energy: -662.1 meV per atom
- Total energy: -11.9312 eV per atom

a = 12.7895 Å, b = 12.7895 Å, c = 12.7895 Å
α = 161.56°, β = 161.56°, γ = 26.20°
Last column: nearest neighbours and their distance in Å.
Sites, in units of the cell vectors:
Rb: 0.3750 0.6250 0.7500  4 F 2.90
Rb: 0.6250 0.3750 0.2500  4 F 2.90
P: 0.0000 0.0000 0.0000  2 P 2.05
P: 0.0000 0.0000 0.5000  2 P 2.05
P: 0.0000 0.5000 0.0000  2 P 2.05
P: 0.5000 0.0000 0.5000  2 P 2.05
F: 0.1250 0.8750 0.2500  4 Rb 2.90
F: 0.8750 0.1250 0.7500  4 Rb 2.90


6.
Compound: Rb3PF
Source: the Alexandria database
Functional: SCAN
Structure: single point on PBEsol structure

## Properties
- DOS(E_F): 4.2 states/eV/cell
- SG: Pm-3m
- Uncorrected formation energy: -1221.1 meV per atom
- Total energy: -16.4524 eV per atom

a = 5.3635 Å, b = 5.3635 Å, c = 5.3635 Å
α = 90.00°, β = 90.00°, γ = 90.00°
Last column: nearest neighbours and their distance in Å.
Sites, in units of the cell vectors:
Rb: 0.0000 0.0000 0.5000  2 F 2.68
Rb: 0.0000 0.5000 0.0000  2 F 2.68
Rb: 0.5000 0.0000 0.0000  2 F 2.68
P: 0.5000 0.5000 0.5000  12 Rb 3.79
F: 0.0000 0.0000 0.0000  6 Rb 2.68